NbIrAu2S | PBE-GGA | optimized geometry

abc: 5.040 4.752 5.040
angles: 90.00 90.00 90.00
Atoms (fractional coordinates):
S: 0.500 0.500 0.500
Nb: 0.000 0.500 0.000
Au: 0.500 0.000 0.000
Au: 0.000 0.000 0.500
Ir: 0.000 0.000 0.000

Summary:
E_form (uncorrected) in kJ/mol of formula units: 530
Space group: P4/mmm

GdUC2 | PBE-GGA | optimized geometry

abc: 3.601 3.601 6.103
angles: 72.84 72.84 60.00
Each line ends with the local moment (μB).
Atoms (fractional coordinates):
C: 0.265 0.265 0.205  -0.03
C: 0.735 0.735 0.795  -0.03
Gd: 0.500 0.500 0.500  7.08
U: 0.000 0.000 0.000  0.09

Summary:
Formation enthalpy at 0 K in eV/atom: -0.23
Space group: R-3m

Pa3AsN6O2 | PBE-GGA | optimized geometry

abc: 4.781 6.820 6.480
angles: 121.75 91.39 90.00
Each line ends with the local moment (μB).
Atoms (fractional coordinates):
O: 0.769 0.326 0.652  0.02
O: 0.231 0.674 0.348  0.02
N: 0.306 0.171 0.342  0.01
N: 0.280 0.178 0.885  0.32
N: 0.720 0.822 0.115  0.32
N: 0.280 0.708 0.885  0.32
N: 0.694 0.829 0.658  0.01
N: 0.720 0.292 0.115  0.32
Pa: 0.500 0.000 0.500  0.04
Pa: 0.000 0.500 0.000  0.06
Pa: 0.500 0.500 0.500  0.04
As: 0.500 0.000 0.000  -0.02

Summary:
E_form (uncorrected) in kJ/mol of formula units: -1119
Space group: C2/m

TeRhAuN2 | PBE-GGA | optimized geometry

abc: 3.886 3.886 7.590
angles: 90.00 90.00 90.00
Each line ends with the local moment (μB).
Atoms (fractional coordinates):
Au: 0.000 0.000 0.000  0.32
N: 0.000 0.500 0.000  1.00
N: 0.500 0.000 0.000  1.00
Te: 0.000 0.000 0.500  -0.01
Rh: 0.500 0.500 0.500  -0.12

Summary:
E_form (uncorrected) in kJ/mol of formula units: 851
ΔE to the lowest computed polymorph in eV per atom: 0.7680
Space group: P4/mmm

LiZnSb4O8 | PBE-GGA | optimized geometry

abc: 3.484 7.956 8.750
angles: 109.97 100.66 92.61
Atoms (fractional coordinates):
Sb: 0.818 0.612 0.445
Sb: 0.040 0.111 0.854
Sb: 0.147 0.763 0.142
Sb: 0.178 0.256 0.483
O: 0.309 0.534 0.599
O: 0.686 0.908 0.288
O: 0.198 0.596 0.284
O: 0.719 0.344 0.358
O: 0.898 0.212 0.655
O: 0.544 0.628 0.007
O: 0.033 0.866 0.912
O: 0.464 0.979 0.730
Zn: 0.479 0.732 0.822
Li: 0.597 0.977 0.514

Summary:
E_form (uncorrected) in kJ/mol of formula units: -1696
ΔE to the lowest computed polymorph in eV per atom: 0.0574
Space group: P1

SrZn2Mo | PBE-GGA | optimized geometry

abc: 3.444 3.444 6.927
angles: 90.00 90.00 90.00
Each line ends with the local moment (μB).
Atoms (fractional coordinates):
Mo: 0.500 0.500 0.250  1.22
Zn: 0.000 0.000 0.066  0.01
Zn: 0.000 0.000 0.434  0.01
Sr: 0.500 0.500 0.750  0.04

Summary:
ΔE to the lowest computed polymorph in eV per atom: 0.0000
Formation enthalpy at 0 K in eV/atom: 0.28
Space group: P4/mmm

Sb2AsRh | PBE-GGA | optimized geometry

abc: 3.847 3.847 7.157
angles: 74.32 74.32 60.41
Atoms (fractional coordinates):
Sb: 0.508 0.508 0.477
Sb: 0.992 0.992 0.023
As: 0.750 0.750 0.750
Rh: 0.250 0.250 0.250

Summary:
E_form (uncorrected) in kJ/mol of formula units: -31
Space group: C2/m

ZnCdHg | PBE-GGA | optimized geometry

abc: 7.305 7.101 3.153
angles: 81.00 73.76 25.24
Atoms (fractional coordinates):
Hg: 0.326 0.326 0.674
Zn: 0.666 0.666 0.334
Cd: 0.008 0.008 0.992

Summary:
ΔE to the lowest computed polymorph in eV per atom: 0.0449
Formation enthalpy at 0 K in eV/atom: 0.12
Space group: Fmm2

Tl3Cd3Pb | PBE-GGA | optimized geometry

abc: 8.135 8.135 8.135
angles: 90.00 90.00 90.00
Atoms (fractional coordinates):
Tl: 0.000 0.250 0.500
Tl: 0.000 0.750 0.500
Tl: 0.500 0.000 0.250
Tl: 0.500 0.000 0.750
Tl: 0.750 0.500 0.000
Tl: 0.250 0.500 0.000
Cd: 0.500 0.750 0.000
Cd: 0.500 0.250 0.000
Cd: 0.750 0.000 0.500
Cd: 0.000 0.500 0.250
Cd: 0.250 0.000 0.500
Cd: 0.000 0.500 0.750
Pb: 0.500 0.500 0.500
Pb: 0.000 0.000 0.000

Summary:
Formation enthalpy at 0 K in eV/atom: 0.45
Space group: Pm-3n

AlAsIr2 | PBE-GGA | optimized geometry

abc: 5.426 5.426 5.426
angles: 148.22 133.39 57.52
Atoms (fractional coordinates):
Ir: 0.259 0.759 0.500
Ir: 0.982 0.982 0.000
As: 0.764 0.264 0.500
Al: 0.496 0.496 0.000

Summary:
ΔE to the lowest computed polymorph in eV per atom: 0.1377
Formation enthalpy at 0 K in eV/atom: -0.18
Space group: Imm2

RbReI2N | PBE-GGA | optimized geometry

abc: 5.895 5.895 3.852
angles: 90.00 90.00 90.00
Each line ends with the local moment (μB).
Atoms (fractional coordinates):
Rb: 0.500 0.500 0.500  0.00
I: 0.000 0.500 0.000  0.02
I: 0.500 0.000 0.000  0.02
N: 0.000 0.000 0.500  -0.04
Re: 0.000 0.000 0.000  0.45

Summary:
E_form (uncorrected) in kJ/mol of formula units: -32
ΔE to the lowest computed polymorph in eV per atom: 0.0000
Space group: P4/mmm

Sm6TeC2S3 | PBE-GGA | optimized geometry

abc: 3.940 8.194 8.944
angles: 101.84 102.72 90.00
Atoms (fractional coordinates):
C: 0.829 0.660 0.658
C: 0.171 0.340 0.342
Te: 0.500 0.000 0.000
S: 0.839 0.165 0.678
S: 0.161 0.835 0.322
S: 0.500 0.500 0.000
Sm: 0.322 0.870 0.643
Sm: 0.977 0.716 0.955
Sm: 0.678 0.130 0.357
Sm: 0.023 0.284 0.045
Sm: 0.676 0.568 0.352
Sm: 0.324 0.432 0.648

Summary:
E_form (uncorrected) in kJ/mol of formula units: -1520
Space group: C2/m

D(E_F) / states/eV/atom: 1.511, 0.660, 0.061, 0.728, 0.098, 0.797, 0.490, 0.180, 0.522, 0.441, 0.601, 0.329